Record 1
Entry from the Alexandria database: a relaxed Sr2Li15Al2 crystal (PBE).

Cell lengths 7.536, 7.536, 7.536 Å; angles 84.69, 84.69, 84.69 degrees
Fractional positions:
Li 0.000 0.737 0.263
Li 0.500 0.000 0.000
Li 0.000 0.000 0.500
Li 0.737 0.000 0.263
Li 0.345 0.345 0.876
Li 0.263 0.000 0.737
Li 0.345 0.876 0.345
Li 0.876 0.345 0.345
Li 0.263 0.737 0.000
Li 0.124 0.655 0.655
Li 0.737 0.263 0.000
Li 0.000 0.500 0.000
Li 0.000 0.263 0.737
Li 0.655 0.124 0.655
Li 0.655 0.655 0.124
Al 0.901 0.901 0.901
Al 0.099 0.099 0.099
Sr 0.344 0.344 0.344
Sr 0.656 0.656 0.656

Properties
- ΔE_f (eV/atom) = -0.02
- symmetry = R-3m
- crystal system = trigonal
- final energy (Ry per atom) = -0.1546
- M_tot (μB per formula unit) = 0.0

***

Record 2
Entry from the Alexandria database: a relaxed Sr2Li5Al5 crystal (PBE).

Cell lengths 4.579, 5.659, 9.798 Å; angles 90.00, 90.00, 90.00 degrees
Fractional positions:
Al 0.500 0.500 0.500
Al 0.500 0.750 0.256
Al 0.500 0.750 0.744
Al 0.500 0.250 0.256
Al 0.500 0.250 0.744
Li 0.500 0.000 0.000
Li 0.000 0.000 0.820
Li 0.000 0.000 0.180
Li 0.000 0.500 0.329
Li 0.000 0.500 0.671
Sr 0.000 0.500 0.000
Sr 0.000 0.000 0.500

Properties
- ΔE_f (eV/atom) = -0.17
- symmetry = Pmmm
- crystal system = orthorhombic
- final energy (Ry per atom) = -0.2060
- M_tot (μB per formula unit) = 0.0

***

Record 3
Entry from the Alexandria database: a relaxed Sr3Li2Al7 crystal (PBE).

Cell lengths 5.791, 5.791, 9.827 Å; angles 72.86, 72.86, 60.00 degrees
Fractional positions:
Li 0.665 0.665 0.005
Li 0.335 0.335 0.995
Al 0.500 0.500 0.500
Al 0.417 0.922 0.244
Al 0.922 0.417 0.244
Al 0.417 0.417 0.244
Al 0.583 0.078 0.756
Al 0.078 0.583 0.756
Al 0.583 0.583 0.756
Sr 0.859 0.859 0.423
Sr 0.000 0.000 0.000
Sr 0.141 0.141 0.577

Properties
- ΔE_f (eV/atom) = -0.25
- symmetry = R-3m
- crystal system = trigonal
- final energy (Ry per atom) = -0.2328
- M_tot (μB per formula unit) = 0.0